A plane-wave DFT calculation with GGA-PBE was carried out for a geometry-optimized TlCrHg2 structure.

E_form   0.299 eV/atom
Final energy   -2.85 eV per atom
Symmetry   P2/m, No. 10

a b c (Å): 3.276 3.333 9.210
angles (deg): 68.64 90.00 90.00
Site moments in Bohr magnetons follow the coordinates.
Fractional coordinates of all 4 atoms:
Cr (0.500, 0.750, 0.750)  3.72
Hg (0.000, 0.044, 0.956)  0.01
Hg (0.000, 0.456, 0.544)  0.01
Tl (0.500, 0.250, 0.250)  -0.01



A plane-wave DFT calculation with GGA-PBE was carried out for a geometry-optimized TlCrHg2 structure.

E_form   0.327 eV/atom
Final energy   -2.82 eV per atom
Symmetry   R-3m, No. 166

a b c (Å): 9.733 9.733 9.733
angles (deg): 20.10 20.10 20.10
Site moments in Bohr magnetons follow the coordinates.
Fractional coordinates of all 4 atoms:
Cr (0.750, 0.750, 0.750)  3.77
Hg (0.010, 0.010, 0.010)  0.01
Hg (0.490, 0.490, 0.490)  0.01
Tl (0.250, 0.250, 0.250)  -0.01



A plane-wave DFT calculation with GGA-PBE was carried out for a geometry-optimized TlCrHg4 structure.

E_form   0.381 eV/atom
Final energy   -1.82 eV per atom
Symmetry   F-43m, No. 216

a b c (Å): 6.015 6.015 6.015
angles (deg): 60.00 60.00 60.00
Site moments in Bohr magnetons follow the coordinates.
Fractional coordinates of all 6 atoms:
Tl (0.750, 0.750, 0.750)  0.00
Cr (0.000, 0.000, 0.000)  4.14
Hg (0.876, 0.375, 0.375)  0.00
Hg (0.375, 0.375, 0.876)  0.00
Hg (0.375, 0.876, 0.375)  0.00
Hg (0.375, 0.375, 0.375)  0.00



A plane-wave DFT calculation with GGA-PBE was carried out for a geometry-optimized Tl2CrHg structure.

E_form   0.420 eV/atom
Final energy   -3.24 eV per atom
Symmetry   R-3m, No. 166
Relative energy among the computed polymorphs   0.0853 eV/atom

a b c (Å): 9.801 9.801 9.801
angles (deg): 20.42 20.42 20.42
Site moments in Bohr magnetons follow the coordinates.
Fractional coordinates of all 4 atoms:
Cr (0.250, 0.250, 0.250)  3.86
Hg (0.750, 0.750, 0.750)  0.02
Tl (0.994, 0.994, 0.994)  0.02
Tl (0.506, 0.506, 0.506)  0.02



A plane-wave DFT calculation with GGA-PBE was carried out for a geometry-optimized Tl2CrHg structure.

E_form   0.441 eV/atom
Final energy   -3.22 eV per atom
Symmetry   P2/m, No. 10
Relative energy among the computed polymorphs   0.1060 eV/atom

a b c (Å): 4.985 3.409 6.018
angles (deg): 80.27 90.00 90.00
Site moments in Bohr magnetons follow the coordinates.
Fractional coordinates of all 4 atoms:
Cr (0.500, 0.250, 0.250)  3.96
Hg (0.500, 0.750, 0.750)  0.01
Tl (0.000, 0.015, 0.007)  0.00
Tl (0.000, 0.485, 0.493)  0.00



A plane-wave DFT calculation with GGA-PBE was carried out for a geometry-optimized Tl2CrHg structure.

E_form   0.365 eV/atom
Final energy   -3.30 eV per atom
Symmetry   Imm2, No. 44
Relative energy among the computed polymorphs   0.0302 eV/atom

a b c (Å): 6.517 6.517 6.517
angles (deg): 150.47 132.79 56.67
Site moments in Bohr magnetons follow the coordinates.
Fractional coordinates of all 4 atoms:
Cr (0.493, 0.493, 0.000)  3.74
Hg (0.290, 0.790, 0.500)  0.01
Tl (0.004, 0.004, 0.000)  -0.03
Tl (0.713, 0.213, 0.500)  0.01